Below is a relaxed structure of SnMoPd3, with properties calculated at the PBE level.

For the size of the total moment, the calculation gives 0.0 μB/f.u. The energy relative to the elements comes out at 4.42 eV per formula unit. Its relative energy among the computed polymorphs is 0.00 kcal/mol of atoms.

abc: 4.8416 4.8416 4.8416
angles: 90.00 90.00 90.00
Element x y z (fractional)
Sn 0.0000 0.0000 0.0000
Mo 0.5000 0.5000 0.5000
Pd 0.0000 0.5000 0.5000
Pd 0.5000 0.0000 0.5000
Pd 0.5000 0.5000 0.0000